The following is a PBE calculation of a geometry-optimized SbPd2C structure, from the Alexandria database.

```
data_SbPd2C
_chemical_formula_sum 'Sb4 Pd8 C4'
_space_group_name_H-M_alt 'F m -3 m'
_space_group_IT_number 225
_space_group_name_Hall '-F 4 2 3'
_cell_length_a 6.2726
_cell_length_b 6.2726
_cell_length_c 6.2726
_cell_angle_alpha 90.00
_cell_angle_beta 90.00
_cell_angle_gamma 90.00
loop_
_atom_site_label
_atom_site_type_symbol
_atom_site_fract_x
_atom_site_fract_y
_atom_site_fract_z
Sb1 Sb 0.0000 0.0000 0.0000
Pd1 Pd 0.2500 0.2500 0.2500
C1 C 0.0000 0.0000 0.5000
```

Properties
E_form (uncorrected) ... 934 meV/atom
Polymorph energy (0 for the lowest one) ... 44.2 kJ/mol of atoms



The following is a PBE calculation of a geometry-optimized SrSbPd2C structure, from the Alexandria database.

```
data_SrSbPd2C
_chemical_formula_sum 'Sr1 Sb1 Pd2 C1'
_space_group_name_H-M_alt 'P 4/m m m'
_space_group_IT_number 123
_space_group_name_Hall '-P 4 2'
_cell_length_a 5.1676
_cell_length_b 5.1676
_cell_length_c 6.2280
_cell_angle_alpha 90.00
_cell_angle_beta 90.00
_cell_angle_gamma 90.00
loop_
_atom_site_label
_atom_site_type_symbol
_atom_site_fract_x
_atom_site_fract_y
_atom_site_fract_z
Sr1 Sr 0.0000 0.0000 0.0000
Sb1 Sb 0.0000 0.0000 0.5000
Pd1 Pd 0.0000 0.5000 0.0000
C1 C 0.5000 0.5000 0.5000
```

Properties
E_form (uncorrected) ... 2228 meV/atom



The following is a PBE calculation of a geometry-optimized SbTe2PdC structure, from the Alexandria database.

```
data_SbTe2PdC
_chemical_formula_sum 'Sb1 Te2 Pd1 C1'
_space_group_name_H-M_alt 'P 4/m m m'
_space_group_IT_number 123
_space_group_name_Hall '-P 4 2'
_cell_length_a 5.3542
_cell_length_b 5.3542
_cell_length_c 5.1044
_cell_angle_alpha 90.00
_cell_angle_beta 90.00
_cell_angle_gamma 90.00
loop_
_atom_site_label
_atom_site_type_symbol
_atom_site_fract_x
_atom_site_fract_y
_atom_site_fract_z
Sb1 Sb 0.0000 0.0000 0.0000
Te1 Te 0.0000 0.5000 0.5000
Pd1 Pd 0.0000 0.0000 0.5000
C1 C 0.5000 0.5000 0.0000
```

Properties
E_form (uncorrected) ... 1653 meV/atom
Polymorph energy (0 for the lowest one) ... 64.3 kJ/mol of atoms



The following is a PBE calculation of a geometry-optimized SbTe2PdC structure, from the Alexandria database.

```
data_SbTe2PdC
_chemical_formula_sum 'Sb1 Te2 Pd1 C1'
_space_group_name_H-M_alt 'P 4/m m m'
_space_group_IT_number 123
_space_group_name_Hall '-P 4 2'
_cell_length_a 4.7715
_cell_length_b 4.7715
_cell_length_c 4.6525
_cell_angle_alpha 90.00
_cell_angle_beta 90.00
_cell_angle_gamma 90.00
loop_
_atom_site_label
_atom_site_type_symbol
_atom_site_fract_x
_atom_site_fract_y
_atom_site_fract_z
Sb1 Sb 0.0000 0.0000 0.0000
Te1 Te 0.0000 0.5000 0.5000
Pd1 Pd 0.5000 0.5000 0.0000
C1 C 0.0000 0.0000 0.5000
```

Properties
E_form (uncorrected) ... 986 meV/atom
Polymorph energy (0 for the lowest one) ... 0.0 kJ/mol of atoms



The following is a PBE calculation of a geometry-optimized VSb2PdC structure, from the Alexandria database.

```
data_VSb2PdC
_chemical_formula_sum 'V1 Sb2 Pd1 C1'
_space_group_name_H-M_alt 'P 4/m m m'
_space_group_IT_number 123
_space_group_name_Hall '-P 4 2'
_cell_length_a 4.7650
_cell_length_b 4.7650
_cell_length_c 3.9388
_cell_angle_alpha 90.00
_cell_angle_beta 90.00
_cell_angle_gamma 90.00
loop_
_atom_site_label
_atom_site_type_symbol
_atom_site_fract_x
_atom_site_fract_y
_atom_site_fract_z
V1 V 0.0000 0.0000 0.0000
Sb1 Sb 0.0000 0.5000 0.5000
Pd1 Pd 0.5000 0.5000 0.0000
C1 C 0.0000 0.0000 0.5000
```

Properties
E_form (uncorrected) ... 510 meV/atom



The following is a PBE calculation of a geometry-optimized Y2SbPdC structure, from the Alexandria database.

```
data_Y2SbPdC
_chemical_formula_sum 'Y2 Sb1 Pd1 C1'
_space_group_name_H-M_alt 'P 4/m m m'
_space_group_IT_number 123
_space_group_name_Hall '-P 4 2'
_cell_length_a 5.0092
_cell_length_b 5.0092
_cell_length_c 4.1306
_cell_angle_alpha 90.00
_cell_angle_beta 90.00
_cell_angle_gamma 90.00
loop_
_atom_site_label
_atom_site_type_symbol
_atom_site_fract_x
_atom_site_fract_y
_atom_site_fract_z
Y1 Y 0.0000 0.5000 0.0000
Sb1 Sb 0.0000 0.0000 0.5000
Pd1 Pd 0.5000 0.5000 0.5000
C1 C 0.5000 0.5000 0.0000
```

Properties
E_form (uncorrected) ... -575 meV/atom



Number 1: DOS at the Fermi energy 0.75 states/eV/atom. Number 2: DOS at the Fermi energy 0.44 states/eV/atom. Number 3: DOS at the Fermi energy 1.19 states/eV/atom. Number 4: DOS at the Fermi energy 0.61 states/eV/atom. Number 5: DOS at the Fermi energy 0.81 states/eV/atom. Number 6: DOS at the Fermi energy 0.72 states/eV/atom.